This record from Alexandria describes a relaxed structure of VSbOF2. The functional is GGA+U.

a = 4.5730 Å, b = 4.5730 Å, c = 4.2522 Å
α = 90.00°, β = 90.00°, γ = 90.00°
Space group P4/mmm (No. 123)
Inequivalent atoms, fractional coordinates:
V (0.0000, 0.0000, 0.0000) x1
Sb (0.5000, 0.5000, 0.5000) x1
O (0.5000, 0.5000, 0.0000) x1
F (0.0000, 0.5000, 0.5000) x2

Computed properties:
density: 4.2 g cm⁻³
uncorrected energy: -24.503 eV per cell
V: 88.9 Å³ per cell


This record from Alexandria describes a relaxed structure of VSbOF2. The functional is GGA+U.

a = 4.2000 Å, b = 4.2000 Å, c = 3.9453 Å
α = 90.00°, β = 90.00°, γ = 90.00°
Space group P4/mmm (No. 123)
Inequivalent atoms, fractional coordinates:
V (0.0000, 0.0000, 0.0000) x1
Sb (0.5000, 0.5000, 0.5000) x1
O (0.0000, 0.0000, 0.5000) x1
F (0.0000, 0.5000, 0.0000) x2

Computed properties:
density: 5.4 g cm⁻³
uncorrected energy: -26.931 eV per cell
V: 69.6 Å³ per cell


This record from Alexandria describes a relaxed structure of SbWOF2. The functional is GGA+U.

a = 4.2844 Å, b = 4.2844 Å, c = 4.3366 Å
α = 90.00°, β = 90.00°, γ = 90.00°
Space group P4/mmm (No. 123)
Inequivalent atoms, fractional coordinates:
Sb (0.0000, 0.0000, 0.0000) x1
W (0.5000, 0.5000, 0.5000) x1
O (0.5000, 0.5000, 0.0000) x1
F (0.0000, 0.5000, 0.5000) x2

Computed properties:
density: 7.5 g cm⁻³
uncorrected energy: -25.980 eV per cell
V: 79.6 Å³ per cell


This record from Alexandria describes a relaxed structure of SbWOF2. The functional is GGA+U.

a = 4.5014 Å, b = 4.5014 Å, c = 4.3317 Å
α = 90.00°, β = 90.00°, γ = 90.00°
Space group P4/mmm (No. 123)
Inequivalent atoms, fractional coordinates:
Sb (0.0000, 0.0000, 0.0000) x1
W (0.5000, 0.5000, 0.5000) x1
O (0.0000, 0.0000, 0.5000) x1
F (0.0000, 0.5000, 0.0000) x2

Computed properties:
density: 6.8 g cm⁻³
uncorrected energy: -22.753 eV per cell
V: 87.8 Å³ per cell